Record 1
PBE Cd2HgPt, relaxed; DFT formation energy = -0.0471 eV per atom; total moment = 0.000 μB/atom; Fermi-level density of states = 1.429 states/eV/f.u.; space-group type = Pmm2, No. 25; raw total energy = -2.09 eV per atom; crystal system = orthorhombic
1.0
3.130 0.000 0.000
0.000 4.263 0.000
0.000 0.000 5.924
Hg Pt Cd
1 1 2
Direct
0.000 0.000 0.500
0.500 0.500 0.767
0.000 0.000 0.979
0.500 0.500 0.253


Record 2
PBE Dy4Y2Tm, relaxed; DFT formation energy = 0.0064 eV per atom; total moment = 0.000 μB/atom; Fermi-level density of states = 10.491 states/eV/f.u.; offset from the most stable computed form = 0.0 meV/atom; space-group type = P3m1, No. 156; raw total energy = -5.11 eV per atom; crystal system = trigonal
1.0
-1.180 -0.025 -3.374
-1.163 -2.459 2.319
-15.071 12.011 5.180
Dy Y Tm
4 2 1
Direct
0.048 0.095 0.952
0.381 0.762 0.526
0.048 0.096 0.238
0.381 0.762 0.807
0.715 0.429 0.096
0.715 0.429 0.382
0.714 0.429 0.666